1.
VASP calculation (PBE-GGA) on crystalline ZrAl2Te at its relaxed geometry.

Unit cell a=5.480 b=5.480 c=5.480 alpha=141.28 beta=125.95 gamma=68.46
Fractional coordinates of all 4 atoms:
Te 0.490 0.490 0.000
Al 0.013 0.013 0.000
Al 0.237 0.737 0.500
Zr 0.760 0.260 0.500

Computed properties:
- ρ: 5.525 g/cm³
- Volume: 82.0 Å³ per cell
- Energy relative to the elements, uncorrected: -0.209 eV/atom
- E: -5.003 eV/atom

***

2.
VASP calculation (PBE-GGA) on crystalline Ag2SbMo at its relaxed geometry.

Unit cell a=2.921 b=4.555 c=5.693 alpha=90.00 beta=90.00 gamma=90.00
Fractional coordinates of all 4 atoms:
Ag 0.000 0.000 0.014
Ag 0.000 0.000 0.486
Mo 0.500 0.500 0.250
Sb 0.500 0.500 0.750

Computed properties:
- ρ: 9.503 g/cm³
- Volume: 75.7 Å³ per cell
- Energy relative to the elements, uncorrected: 0.496 eV/atom
- E: -4.668 eV/atom

***

3.
VASP calculation (PBE-GGA) on crystalline Er6TeRu2 at its relaxed geometry.

Unit cell a=8.447 b=8.447 c=8.447 alpha=103.45 beta=111.47 gamma=113.66
Fractional coordinates of all 18 atoms:
Er 0.466 0.287 0.179
Er 0.534 0.713 0.821
Er 0.892 0.713 0.179
Er 0.108 0.287 0.821
Er 0.207 0.763 0.970
Er 0.793 0.237 0.030
Er 0.793 0.763 0.556
Er 0.207 0.237 0.444
Er 0.315 0.983 0.668
Er 0.685 0.017 0.332
Er 0.685 0.354 0.668
Er 0.315 0.646 0.332
Te 0.000 0.500 0.500
Te 0.000 0.000 0.000
Ru 0.500 0.370 0.870
Ru 0.500 0.630 0.130
Ru 0.332 0.000 0.332
Ru 0.668 0.000 0.668

Computed properties:
- ρ: 9.628 g/cm³
- Offset from the most stable computed form: 0.0 meV/atom
- Volume: 459.9 Å³ per cell
- Energy relative to the elements, uncorrected: -0.503 eV/atom
- E: -5.955 eV/atom

***

Repeat the second record exactly.
VASP calculation (PBE-GGA) on crystalline Ag2SbMo at its relaxed geometry.

Unit cell a=2.921 b=4.555 c=5.693 alpha=90.00 beta=90.00 gamma=90.00
Fractional coordinates of all 4 atoms:
Ag 0.000 0.000 0.014
Ag 0.000 0.000 0.486
Mo 0.500 0.500 0.250
Sb 0.500 0.500 0.750

Computed properties:
- ρ: 9.503 g/cm³
- Volume: 75.7 Å³ per cell
- Energy relative to the elements, uncorrected: 0.496 eV/atom
- E: -4.668 eV/atom

***

Which formula does entry 3 have? Er6TeRu2

***

energy relative to the elements, uncorrected of number 1 (ZrAl2Te)? -0.209 eV/atom

***

Copy entry 2 word for word.
VASP calculation (PBE-GGA) on crystalline Ag2SbMo at its relaxed geometry.

Unit cell a=2.921 b=4.555 c=5.693 alpha=90.00 beta=90.00 gamma=90.00
Fractional coordinates of all 4 atoms:
Ag 0.000 0.000 0.014
Ag 0.000 0.000 0.486
Mo 0.500 0.500 0.250
Sb 0.500 0.500 0.750

Computed properties:
- ρ: 9.503 g/cm³
- Volume: 75.7 Å³ per cell
- Energy relative to the elements, uncorrected: 0.496 eV/atom
- E: -4.668 eV/atom